# Tb4TlBiSe2, relaxed, DFT PBE
data_Tb4TlBiSe2
_symmetry_space_group_name_H-M 'P 1 2/m 1'
_symmetry_Int_Tables_number 10
_cell_length_a 7.390
_cell_length_b 4.197
_cell_length_c 7.541
_cell_angle_alpha 90.00
_cell_angle_beta 108.45
_cell_angle_gamma 90.00
loop_
_symmetry_equiv_pos_as_xyz
'x,y,z'
'-x,-y,-z'
'-x,y,-z'
'x,-y,z'
loop_
_atom_site_label
_atom_site_fract_x
_atom_site_fract_y
_atom_site_fract_z
Tb1 0.240 0.000 0.234
Tb2 0.255 0.500 0.767
Tl1 0.000 0.000 0.500
Bi1 0.500 0.500 0.500
Se1 0.000 0.500 0.000
Se2 0.500 0.000 0.000
# * volume: 221.9 Å³/cell
# * energy relative to the elements, uncorrected: -888.0 kJ/mol of formula units
# * DOS at the Fermi energy: 3.37 states/eV/f.u.
# * DFT total energy: -5.118 eV/atom

=====

# Tb2Tl3BiSe6, relaxed, DFT PBE
data_Tb2Tl3BiSe6
_symmetry_space_group_name_H-M 'C 1 2/m 1'
_symmetry_Int_Tables_number 12
_cell_length_a 7.348
_cell_length_b 12.730
_cell_length_c 8.112
_cell_angle_alpha 90.00
_cell_angle_beta 107.58
_cell_angle_gamma 90.00
loop_
_symmetry_equiv_pos_as_xyz
'x,y,z'
'-x,-y,-z'
'-x,y,-z'
'x,-y,z'
'x+1/2,y+1/2,z'
'-x+1/2,-y+1/2,-z'
'-x+1/2,y+1/2,-z'
'x+1/2,-y+1/2,z'
loop_
_atom_site_label
_atom_site_fract_x
_atom_site_fract_y
_atom_site_fract_z
Tb1 0.000 0.167 0.000
Tl1 0.000 0.000 0.500
Tl2 0.000 0.334 0.500
Bi1 0.000 0.500 0.000
Se1 0.229 0.000 0.208
Se2 0.239 0.330 0.208
# * volume: 723.3 Å³/cell
# * energy relative to the elements, uncorrected: -1245.6 kJ/mol of formula units
# * DFT total energy: -4.505 eV/atom

=====

# Tb3Tl3BiSe8, relaxed, DFT PBE
data_Tb3Tl3BiSe8
_symmetry_space_group_name_H-M 'R -3 m'
_symmetry_Int_Tables_number 166
_symmetry_space_group_name_Hall '-R 3 2"'
_cell_length_a 8.4209
_cell_length_b 8.4209
_cell_length_c 22.8135
_cell_angle_alpha 90.00
_cell_angle_beta 90.00
_cell_angle_gamma 120.00
loop_
_atom_site_label
_atom_site_fract_x
_atom_site_fract_y
_atom_site_fract_z
Tb1 0.0000 0.5000 0.0000
Tl1 0.0000 0.5000 0.5000
Bi1 0.0000 0.0000 0.0000
Se1 0.0000 0.0000 0.2636
Se2 0.0075 0.5038 0.2634
# * volume: 1400.9 Å³/cell
# * energy relative to the elements, uncorrected: -1651.2 kJ/mol of formula units
# * DOS at the Fermi energy: 7.67 states/eV/f.u.
# * DFT total energy: -4.657 eV/atom